# BiC3F | Alexandria via LeMat-Bulk | PBE-GGA | relaxed
data_BiC3F
_chemical_formula_sum 'Bi1 C3 F1'
_space_group_name_H-M_alt 'P m -3 m'
_space_group_IT_number 221
_space_group_name_Hall '-P 4 2 3'
_cell_length_a 3.984
_cell_length_b 3.984
_cell_length_c 3.984
_cell_angle_alpha 90.00
_cell_angle_beta 90.00
_cell_angle_gamma 90.00
loop_
_atom_site_label
_atom_site_fract_x
_atom_site_fract_y
_atom_site_fract_z
Bi1 0.000 0.000 0.000
C1 0.000 0.500 0.500
F1 0.500 0.500 0.500
# Total DFT energy (no corrections) = -3.7631 eV per atom
# Polymorph energy (0 for the lowest one) = 0.000 eV per atom
# Formation energy (no corrections) = 2.922 eV/atom
# N(E_F) = 4.74 states/eV/cell
# Crystal system = cubic
# Calculated volume = 12.6 Å³ per atom
# Magnetic moment = 0.00 μB per atom